Record 1
A geometry-optimized Li2Ni3O3F2 structure. Source: Alexandria via LeMat-Bulk, functional PBE with a Hubbard U.

Lattice parameters (Å, degrees): 2.958 2.958 20.949 90.00 90.00 90.00
Space group I4/mmm (No. 139)
Symmetry-distinct sites (fractional):
Li (0.000, 0.000, 0.200) x4
Ni (0.000, 0.000, 0.000) x2
Ni (0.000, 0.000, 0.400) x4
O (0.000, 0.000, 0.102) x4
O (0.000, 0.000, 0.500) x2
F (0.000, 0.000, 0.297) x4


Record 2
A geometry-optimized Li4Ni3O3F4 structure. Source: Alexandria via LeMat-Bulk, functional PBE with a Hubbard U.

Lattice parameters (Å, degrees): 2.948 2.948 29.034 90.00 90.00 90.00
Space group I4/mmm (No. 139)
Symmetry-distinct sites (fractional):
Li (0.000, 0.000, 0.145) x4
Li (0.000, 0.000, 0.284) x4
Ni (0.000, 0.000, 0.000) x2
Ni (0.000, 0.000, 0.427) x4
O (0.000, 0.000, 0.074) x4
O (0.000, 0.000, 0.500) x2
F (0.000, 0.000, 0.215) x4
F (0.000, 0.000, 0.353) x4


Record 3
A geometry-optimized Li3Ni2OF5 structure. Source: Alexandria via LeMat-Bulk, functional PBE with a Hubbard U.

Lattice parameters (Å, degrees): 5.907 8.341 17.567 90.00 90.00 90.00
Space group F222 (No. 22)
Symmetry-distinct sites (fractional):
Li (0.000, 0.000, 0.000) x4
Li (0.000, 0.000, 0.323) x8
Li (0.250, 0.250, 0.250) x4
Li (0.250, 0.250, 0.579) x8
Ni (0.000, 0.000, 0.500) x4
Ni (0.250, 0.250, 0.078) x8
Ni (0.250, 0.250, 0.750) x4
O (0.000, 0.242, 0.500) x8
F (0.004, 0.234, 0.331) x16
F (0.245, 0.004, 0.417) x16
F (0.250, 0.011, 0.750) x8


What DFT total energy values result from the calculations? In sequence: -4.797 -4.809 -4.602 eV/atom.